Entry 1:
The following is a PBE calculation of a geometry-optimized LiCoPb3 structure, from Alexandria.

Cell lengths 5.1439, 5.1439, 5.1439 Å; angles 90.00, 90.00, 90.00 degrees
Last column: nearest neighbours and their distance in Å.
Space group Pm-3m (No. 221)
Symmetry-distinct sites (fractional):
1 Li 0.0000 0.0000 0.0000 [1 per cell]  12 Pb 3.64
2 Co 0.5000 0.5000 0.5000 [1 per cell]  6 Pb 2.57
3 Pb 0.0000 0.5000 0.5000 [3 per cell]  2 Co 2.57

Spin magnetization   1.0 μB per formula unit
ΔH_f (0 K)   0.20 eV per atom
E_tot   -3.828 eV per atom

Entry 2:
The following is a PBE calculation of a geometry-optimized LiCo2Pb structure, from Alexandria.

Cell lengths 2.9807, 4.4440, 4.8003 Å; angles 90.00, 91.41, 90.00 degrees
Last column: nearest neighbours and their distance in Å.
Space group P2/m (No. 10)
Symmetry-distinct sites (fractional):
1 Li 0.0000 0.0000 0.0000 [1 per cell]  4 Co 2.53, 2 Pb 2.79
2 Co 0.2618 0.5000 0.8122 [2 per cell]  2 Co 2.27-2.41, 2 Li 2.53
3 Pb 0.5000 0.0000 0.5000 [1 per cell]  4 Co 2.78, 4 Li 2.79-2.86, 2 Pb 2.98

Spin magnetization   3.3 μB per formula unit
ΔH_f (0 K)   0.39 eV per atom
E_tot   -4.568 eV per atom

Entry 3:
The following is a PBE calculation of a geometry-optimized LiCo2Pb2 structure, from Alexandria.

Cell lengths 5.0343, 5.0343, 7.8423 Å; angles 90.00, 90.00, 90.00 degrees
Last column: nearest neighbours and their distance in Å.
Space group I4/mmm (No. 139)
Symmetry-distinct sites (fractional):
1 Li 0.0000 0.0000 0.0000 [2 per cell]  2 Co 2.84
2 Co 0.0000 0.0000 0.3623 [4 per cell]  1 Co 2.16
3 Pb 0.0000 0.5000 0.2500 [4 per cell]  4 Co 2.67

Spin magnetization   2.5 μB per formula unit
ΔH_f (0 K)   0.36 eV per atom
E_tot   -4.353 eV per atom
Energy relative to the lowest polymorph listed for this composition   15.9 kJ per mole of atoms

Entry 4:
The following is a PBE calculation of a geometry-optimized LiCo2Pb structure, from Alexandria.

Cell lengths 6.1117, 6.1117, 6.1117 Å; angles 90.00, 90.00, 90.00 degrees
Last column: nearest neighbours and their distance in Å.
Space group F-43m (No. 216)
Symmetry-distinct sites (fractional):
1 Li 0.0000 0.0000 0.0000 [4 per cell]  4 Co 2.65, 4 Pb 2.65
2 Co 0.0000 0.0000 0.5000 [4 per cell]  4 Pb 2.65, 4 Co 2.65
3 Co 0.2500 0.2500 0.2500 [4 per cell]  4 Co 2.65, 4 Li 2.65
4 Pb 0.2500 0.2500 0.7500 [4 per cell]  4 Li 2.65, 4 Co 2.65

Spin magnetization   2.8 μB per formula unit
ΔH_f (0 K)   0.24 eV per atom
E_tot   -4.722 eV per atom

Entry 5:
The following is a PBE calculation of a geometry-optimized Li2CoPb2 structure, from Alexandria.

Cell lengths 6.7693, 6.7693, 4.1378 Å; angles 90.00, 90.00, 90.00 degrees
Last column: nearest neighbours and their distance in Å.
Space group P4/mbm (No. 127)
Symmetry-distinct sites (fractional):
1 Li 0.1369 0.3631 0.0000 [4 per cell]  1 Li 2.62, 2 Co 2.63, 2 Pb 2.74
2 Co 0.0000 0.0000 0.0000 [2 per cell]  4 Li 2.63
3 Pb 0.1755 0.6755 0.5000 [4 per cell]  6 Li 2.74-2.97

Spin magnetization   1.5 μB per formula unit
ΔH_f (0 K)   0.21 eV per atom
E_tot   -3.460 eV per atom
Energy relative to the lowest polymorph listed for this composition   8.2 kJ per mole of atoms

Entry 6:
The following is a PBE calculation of a geometry-optimized LiCo2Pb structure, from Alexandria.

Cell lengths 3.7972, 3.8092, 3.9491 Å; angles 90.00, 90.00, 90.00 degrees
Last column: nearest neighbours and their distance in Å.
Space group Pmmm (No. 47)
Symmetry-distinct sites (fractional):
1 Li 0.0000 0.0000 0.0000 [1 per cell]  4 Pb 2.69, 8 Co 2.74
2 Co 0.0000 0.5000 0.5000 [1 per cell]  4 Co 2.69, 4 Pb 2.74, 4 Li 2.74
3 Co 0.5000 0.0000 0.5000 [1 per cell]  4 Co 2.69, 4 Li 2.74, 4 Pb 2.74
4 Pb 0.5000 0.5000 0.0000 [1 per cell]  4 Li 2.69, 8 Co 2.74

Spin magnetization   2.1 μB per formula unit
ΔH_f (0 K)   0.31 eV per atom
E_tot   -4.647 eV per atom

Entry 7:
The following is a PBE calculation of a geometry-optimized LiSmCoPb structure, from Alexandria.

Cell lengths 6.7388, 6.7388, 6.7388 Å; angles 90.00, 90.00, 90.00 degrees
Last column: nearest neighbours and their distance in Å.
Space group F-43m (No. 216)
Symmetry-distinct sites (fractional):
1 Li 0.0000 0.0000 0.0000 [4 per cell]  4 Pb 2.92, 4 Sm 2.92
2 Sm 0.2500 0.2500 0.2500 [4 per cell]  4 Li 2.92, 4 Co 2.92
3 Co 0.0000 0.0000 0.5000 [4 per cell]  4 Pb 2.92, 4 Sm 2.92
4 Pb 0.2500 0.2500 0.7500 [4 per cell]  4 Li 2.92, 4 Co 2.92

Spin magnetization   0.9 μB per formula unit
ΔH_f (0 K)   -0.18 eV per atom
E_tot   -4.545 eV per atom

Entry 8:
The following is a PBE calculation of a geometry-optimized LiCoTePb2 structure, from Alexandria.

Cell lengths 4.9793, 4.9793, 5.5268 Å; angles 90.00, 90.00, 90.00 degrees
Last column: nearest neighbours and their distance in Å.
Space group P4/mmm (No. 123)
Symmetry-distinct sites (fractional):
1 Li 0.0000 0.0000 0.0000 [1 per cell]  4 Te 3.52, 8 Pb 3.72
2 Co 0.5000 0.5000 0.5000 [1 per cell]  4 Pb 2.49, 2 Te 2.76
3 Te 0.5000 0.5000 0.0000 [1 per cell]  2 Co 2.76
4 Pb 0.0000 0.5000 0.5000 [2 per cell]  2 Co 2.49

Spin magnetization   0.0 μB per formula unit
E_tot   -3.793 eV per atom
ΔE_f (raw)   123 meV/atom

Which formula does entry 5 have?
Li2CoPb2